a | The following is a PBE calculation of a relaxed structure of Sc3Co2, from Alexandria via LeMat-Bulk.

Properties
- theoretical density (g/cm3) = 4.69
- space group = No. 164
- magnetic moment (μB per atom) = 0.00

Cell lengths 4.354, 4.354, 5.450 Å; angles 90.00, 90.00, 120.00 degrees
Element x y z (fractional)
Sc: 0.000 0.000 0.000
Sc: 0.333 0.667 0.336
Sc: 0.667 0.333 0.664
Co: 0.333 0.667 0.848
Co: 0.667 0.333 0.152


b | The following is a PBE calculation of a relaxed structure of Sc3Co2, from Alexandria via LeMat-Bulk.

Properties
- theoretical density (g/cm3) = 4.92
- space group = No. 43
- magnetic moment (μB per atom) = 0.00

Cell lengths 7.174, 5.503, 8.222 Å; angles 59.14, 41.19, 79.68 degrees
Element x y z (fractional)
Sc: 0.000 0.000 0.000
Sc: 0.250 0.250 0.250
Sc: 0.377 0.623 0.376
Sc: 0.623 0.377 0.624
Sc: 0.626 0.874 0.627
Sc: 0.874 0.626 0.873
Co: 0.060 0.439 0.062
Co: 0.188 0.811 0.190
Co: 0.439 0.060 0.439
Co: 0.811 0.188 0.811


c | The following is a PBE calculation of a relaxed structure of Sc3Co2, from Alexandria via LeMat-Bulk.

Properties
- theoretical density (g/cm3) = 4.39
- space group = No. 166
- magnetic moment (μB per atom) = 0.00

Cell lengths 9.551, 9.551, 9.551 Å; angles 20.74, 20.74, 20.74 degrees
Element x y z (fractional)
Sc: 0.000 0.000 0.000
Sc: 0.221 0.221 0.221
Sc: 0.779 0.779 0.779
Co: 0.394 0.394 0.394
Co: 0.606 0.606 0.606


Bottom line: a, by a margin of 0.131 eV/atom.


a | The following is a PBE calculation of a relaxed structure of Sc4Co3, from Alexandria via LeMat-Bulk.

Properties
- theoretical density (g/cm3) = 4.89
- space group = No. 139
- magnetic moment (μB per atom) = 0.09

Cell lengths 10.850, 10.850, 10.850 Å; angles 162.06, 162.06, 25.48 degrees
Element x y z (fractional)
Sc: 0.069 0.069 0.000
Sc: 0.329 0.329 0.000
Sc: 0.671 0.671 0.000
Sc: 0.931 0.931 0.000
Co: 0.204 0.204 0.000
Co: 0.500 0.500 0.000
Co: 0.796 0.796 0.000


b | The following is a PBE calculation of a relaxed structure of Sc4Co3, from Alexandria via LeMat-Bulk.

Properties
- theoretical density (g/cm3) = 4.98
- space group = No. 191
- magnetic moment (μB per atom) = 0.28

Cell lengths 5.001, 5.001, 5.486 Å; angles 90.00, 90.00, 120.00 degrees
Element x y z (fractional)
Sc: 0.000 0.000 0.242
Sc: 0.000 0.000 0.758
Sc: 0.333 0.667 0.500
Sc: 0.667 0.333 0.500
Co: 0.000 0.500 0.000
Co: 0.500 0.000 0.000
Co: 0.500 0.500 0.000


Bottom line: a, by a margin of 0.017 eV/atom.


a | The following is a PBE calculation of a relaxed structure of Sc3Co4, from Alexandria via LeMat-Bulk.

Properties
- theoretical density (g/cm3) = 5.57
- space group = No. 139
- magnetic moment (μB per atom) = 0.84

Cell lengths 11.810, 11.810, 11.810 Å; angles 164.98, 164.98, 21.30 degrees
Element x y z (fractional)
Sc: 0.000 0.000 0.000
Sc: 0.307 0.307 0.000
Sc: 0.693 0.693 0.000
Co: 0.122 0.122 0.000
Co: 0.428 0.428 0.000
Co: 0.572 0.572 0.000
Co: 0.878 0.878 0.000


b | The following is a PBE calculation of a relaxed structure of Sc3Co4, from Alexandria via LeMat-Bulk.

Properties
- theoretical density (g/cm3) = 6.02
- space group = No. 148
- magnetic moment (μB per atom) = 0.35

Cell lengths 6.890, 6.890, 6.890 Å; angles 113.59, 113.59, 113.59 degrees
Element x y z (fractional)
Sc: 0.058 0.780 0.637
Sc: 0.220 0.363 0.942
Sc: 0.363 0.942 0.220
Sc: 0.637 0.058 0.780
Sc: 0.780 0.637 0.058
Sc: 0.942 0.220 0.363
Co: 0.000 0.000 0.000
Co: 0.151 0.568 0.291
Co: 0.291 0.151 0.568
Co: 0.432 0.709 0.849
Co: 0.500 0.500 0.500
Co: 0.568 0.291 0.151
Co: 0.709 0.849 0.432
Co: 0.849 0.432 0.709


Bottom line: b, by a margin of 0.175 eV/atom.


a | The following is a PBE calculation of a relaxed structure of ScCoSe3, from Alexandria via LeMat-Bulk.

Properties
- theoretical density (g/cm3) = 4.23
- space group = No. 221
- magnetic moment (μB per atom) = 0.58

Cell lengths 5.113, 5.113, 5.113 Å; angles 90.00, 90.00, 90.00 degrees
Element x y z (fractional)
Sc: 0.000 0.000 0.000
Co: 0.500 0.500 0.500
Se: 0.000 0.000 0.500
Se: 0.000 0.500 0.000
Se: 0.500 0.000 0.000


b | The following is a PBE calculation of a relaxed structure of ScCoSe3, from Alexandria via LeMat-Bulk.

Properties
- theoretical density (g/cm3) = 5.54
- space group = No. 221
- magnetic moment (μB per atom) = 0.11

Cell lengths 4.675, 4.675, 4.675 Å; angles 90.00, 90.00, 90.00 degrees
Element x y z (fractional)
Sc: 0.000 0.000 0.000
Co: 0.500 0.500 0.500
Se: 0.000 0.500 0.500
Se: 0.500 0.000 0.500
Se: 0.500 0.500 0.000


Bottom line: b, by a margin of 0.420 eV/atom.


a | The following is a PBE calculation of a relaxed structure of ScCo2Si2, from Alexandria via LeMat-Bulk.

Properties
- theoretical density (g/cm3) = 5.48
- space group = No. 12
- magnetic moment (μB per atom) = 0.00

Cell lengths 4.938, 4.938, 8.219 Å; angles 110.12, 110.12, 45.57 degrees
Element x y z (fractional)
Sc: 0.104 0.104 0.378
Sc: 0.896 0.896 0.622
Co: 0.162 0.162 0.036
Co: 0.386 0.386 0.366
Co: 0.614 0.614 0.634
Co: 0.838 0.838 0.964
Si: 0.237 0.237 0.773
Si: 0.446 0.446 0.122
Si: 0.554 0.554 0.878
Si: 0.763 0.763 0.227


b | The following is a PBE calculation of a relaxed structure of ScCo2Si2, from Alexandria via LeMat-Bulk.

Properties
- theoretical density (g/cm3) = 5.32
- space group = No. 139
- magnetic moment (μB per atom) = 0.00

Cell lengths 5.493, 5.493, 5.493 Å; angles 139.82, 139.82, 58.13 degrees
Element x y z (fractional)
Sc: 0.000 0.000 0.000
Co: 0.250 0.750 0.500
Co: 0.750 0.250 0.500
Si: 0.376 0.376 0.000
Si: 0.624 0.624 0.000


Bottom line: b, by a margin of 0.245 eV/atom.


a | The following is a PBE calculation of a relaxed structure of ScCo2Si2, from Alexandria via LeMat-Bulk.

Properties
- theoretical density (g/cm3) = 5.28
- space group = No. 139
- magnetic moment (μB per atom) = 0.00

Cell lengths 5.430, 5.430, 5.430 Å; angles 138.77, 138.77, 59.73 degrees
Element x y z (fractional)
Sc: 0.000 0.000 0.000
Co: 0.381 0.381 0.000
Co: 0.619 0.619 0.000
Si: 0.250 0.750 0.500
Si: 0.750 0.250 0.500


b | The following is a PBE calculation of a relaxed structure of ScCo2Si2, from Alexandria via LeMat-Bulk.

Properties
- theoretical density (g/cm3) = 5.73
- space group = No. 127
- magnetic moment (μB per atom) = 0.00

Cell lengths 6.940, 6.940, 2.633 Å; angles 90.00, 90.00, 90.00 degrees
Element x y z (fractional)
Sc: 0.000 0.000 0.000
Sc: 0.500 0.500 0.000
Co: 0.136 0.364 0.000
Co: 0.364 0.864 0.000
Co: 0.636 0.136 0.000
Co: 0.864 0.636 0.000
Si: 0.156 0.656 0.500
Si: 0.344 0.156 0.500
Si: 0.656 0.844 0.500
Si: 0.844 0.344 0.500


Bottom line: a, by a margin of 0.063 eV/atom.


a | The following is a PBE calculation of a relaxed structure of Sc3Co2Si3, from Alexandria via LeMat-Bulk.

Properties
- theoretical density (g/cm3) = 4.48
- space group = No. 63
- magnetic moment (μB per atom) = 0.00

Cell lengths 5.337, 5.337, 12.819 Å; angles 90.00, 90.00, 136.79 degrees
Element x y z (fractional)
Sc: 0.079 0.921 0.613
Sc: 0.079 0.921 0.887
Sc: 0.357 0.643 0.750
Sc: 0.643 0.357 0.250
Sc: 0.921 0.079 0.113
Sc: 0.921 0.079 0.387
Co: 0.215 0.785 0.083
Co: 0.215 0.785 0.417
Co: 0.785 0.215 0.583
Co: 0.785 0.215 0.917
Si: 0.336 0.664 0.250
Si: 0.386 0.614 0.541
Si: 0.386 0.614 0.959
Si: 0.614 0.386 0.041
Si: 0.614 0.386 0.459
Si: 0.664 0.336 0.750


b | The following is a PBE calculation of a relaxed structure of Sc3Co2Si3, from Alexandria via LeMat-Bulk.

Properties
- theoretical density (g/cm3) = 4.44
- space group = No. 63
- magnetic moment (μB per atom) = 0.00

Cell lengths 5.208, 5.208, 14.324 Å; angles 90.00, 90.00, 139.55 degrees
Element x y z (fractional)
Sc: 0.016 0.984 0.750
Sc: 0.142 0.858 0.544
Sc: 0.142 0.858 0.956
Sc: 0.858 0.142 0.044
Sc: 0.858 0.142 0.456
Sc: 0.984 0.016 0.250
Co: 0.235 0.765 0.154
Co: 0.235 0.765 0.346
Co: 0.765 0.235 0.654
Co: 0.765 0.235 0.846
Si: 0.290 0.710 0.750
Si: 0.419 0.581 0.605
Si: 0.419 0.581 0.895
Si: 0.581 0.419 0.105
Si: 0.581 0.419 0.395
Si: 0.710 0.290 0.250


Bottom line: a, by a margin of 0.294 eV/atom.


a | The following is a PBE calculation of a relaxed structure of SmSc2Co, from Alexandria via LeMat-Bulk.

Properties
- theoretical density (g/cm3) = 5.53
- space group = No. 63
- magnetic moment (μB per atom) = 0.00

Cell lengths 6.111, 6.111, 8.831 Å; angles 90.00, 90.00, 146.98 degrees
Element x y z (fractional)
Sm: 0.073 0.927 0.750
Sm: 0.927 0.073 0.250
Sc: 0.354 0.646 0.571
Sc: 0.354 0.646 0.929
Sc: 0.646 0.354 0.071
Sc: 0.646 0.354 0.429
Co: 0.242 0.758 0.250
Co: 0.758 0.242 0.750


b | The following is a PBE calculation of a relaxed structure of SmSc2Co, from Alexandria via LeMat-Bulk.

Properties
- theoretical density (g/cm3) = 5.18
- space group = No. 160
- magnetic moment (μB per atom) = 0.00

Cell lengths 8.437, 8.437, 8.437 Å; angles 25.22, 25.22, 25.22 degrees
Element x y z (fractional)
Sm: 0.000 0.000 0.000
Sc: 0.552 0.552 0.552
Sc: 0.778 0.778 0.778
Co: 0.166 0.166 0.166


Bottom line: a, by a margin of 0.128 eV/atom.


a | The following is a PBE calculation of a relaxed structure of SmSc2Co, from Alexandria via LeMat-Bulk.

Properties
- theoretical density (g/cm3) = 5.68
- space group = No. 123
- magnetic moment (μB per atom) = 0.12

Cell lengths 3.226, 3.226, 8.400 Å; angles 90.00, 90.00, 90.00 degrees
Element x y z (fractional)
Sm: 0.000 0.000 0.000
Sc: 0.500 0.500 0.322
Sc: 0.500 0.500 0.678
Co: 0.000 0.000 0.500


b | The following is a PBE calculation of a relaxed structure of SmSc2Co, from Alexandria via LeMat-Bulk.

Properties
- theoretical density (g/cm3) = 5.21
- space group = No. 166
- magnetic moment (μB per atom) = 0.00

Cell lengths 8.964, 8.964, 8.964 Å; angles 22.86, 22.86, 22.86 degrees
Element x y z (fractional)
Sm: 0.000 0.000 0.000
Sc: 0.221 0.221 0.221
Sc: 0.779 0.779 0.779
Co: 0.500 0.500 0.500


Bottom line: a, by a margin of 0.138 eV/atom.


a | The following is a PBE calculation of a relaxed structure of ScCoSn4, from Alexandria via LeMat-Bulk.

Properties
- theoretical density (g/cm3) = 7.28
- space group = No. 140
- magnetic moment (μB per atom) = 0.00

Cell lengths 7.818, 7.818, 7.818 Å; angles 131.28, 131.28, 71.37 degrees
Element x y z (fractional)
Sc: 0.000 0.000 0.000
Sc: 0.500 0.500 0.000
Co: 0.250 0.250 0.000
Co: 0.750 0.750 0.000
Sn: 0.020 0.520 0.833
Sn: 0.187 0.020 0.500
Sn: 0.313 0.813 0.833
Sn: 0.480 0.313 0.500
Sn: 0.520 0.687 0.500
Sn: 0.687 0.187 0.167
Sn: 0.813 0.980 0.500
Sn: 0.980 0.480 0.167


b | The following is a PBE calculation of a relaxed structure of ScCoSn4, from Alexandria via LeMat-Bulk.

Properties
- theoretical density (g/cm3) = 7.14
- space group = No. 16
- magnetic moment (μB per atom) = 0.03

Cell lengths 6.344, 6.418, 6.610 Å; angles 90.00, 90.00, 90.00 degrees
Element x y z (fractional)
Sc: 0.000 0.000 0.000
Sc: 0.500 0.500 0.000
Co: 0.000 0.000 0.500
Co: 0.500 0.000 0.000
Sn: 0.181 0.313 0.279
Sn: 0.181 0.687 0.721
Sn: 0.316 0.191 0.700
Sn: 0.316 0.809 0.300
Sn: 0.684 0.191 0.300
Sn: 0.684 0.809 0.700
Sn: 0.819 0.313 0.721
Sn: 0.819 0.687 0.279


Bottom line: a, by a margin of 0.081 eV/atom.


a | The following is a PBE calculation of a relaxed structure of Sc4CoSn, from Alexandria via LeMat-Bulk.

Properties
- theoretical density (g/cm3) = 4.51
- space group = No. 15
- magnetic moment (μB per atom) = 0.00

Cell lengths 7.449, 7.449, 5.494 Å; angles 101.33, 101.33, 112.61 degrees
Element x y z (fractional)
Sc: 0.052 0.728 0.941
Sc: 0.207 0.355 0.642
Sc: 0.272 0.948 0.559
Sc: 0.355 0.207 0.142
Sc: 0.645 0.793 0.858
Sc: 0.728 0.052 0.441
Sc: 0.793 0.645 0.358
Sc: 0.948 0.272 0.059
Co: 0.000 0.000 0.250
Co: 0.000 0.000 0.750
Sn: 0.370 0.630 0.250
Sn: 0.630 0.370 0.750


b | The following is a PBE calculation of a relaxed structure of Sc4CoSn, from Alexandria via LeMat-Bulk.

Properties
- theoretical density (g/cm3) = 4.51
- space group = No. 15
- magnetic moment (μB per atom) = 0.00

Cell lengths 7.289, 7.289, 7.802 Å; angles 106.01, 106.01, 41.70 degrees
Element x y z (fractional)
Sc: 0.101 0.744 0.556
Sc: 0.132 0.467 0.846
Sc: 0.256 0.899 0.944
Sc: 0.467 0.132 0.346
Sc: 0.533 0.868 0.654
Sc: 0.744 0.101 0.056
Sc: 0.868 0.533 0.154
Sc: 0.899 0.256 0.444
Co: 0.000 0.500 0.500
Co: 0.500 0.000 0.000
Sn: 0.326 0.674 0.250
Sn: 0.674 0.326 0.750


Bottom line: a, by a margin of 0.138 eV/atom.